Computed, not measured: a relaxed NdSnTeAuS2 crystal at the GGA-PBE level of DFT.

Lattice parameters (Å, degrees): 7.272 7.272 11.329 90.00 90.00 147.25
Sites, in units of the cell vectors:
Te1 0.115 0.885 0.250
Te2 0.885 0.115 0.750
Sn1 0.801 0.199 0.250
Sn2 0.199 0.801 0.750
Au1 0.478 0.522 0.250
Au2 0.522 0.478 0.750
Nd1 0.000 0.000 0.500
Nd2 0.000 0.000 0.000
S1 0.632 0.368 0.929
S2 0.368 0.632 0.429
S3 0.632 0.368 0.571
S4 0.368 0.632 0.071

**VASP energy**: -4.730 eV per atom
**SG**: Cmcm (63)
**Spin magnetization**: 0.00 μB/atom

Computed, not measured: a relaxed KFePd crystal at the GGA-PBE level of DFT.

Lattice parameters (Å, degrees): 4.831 4.831 4.831 60.00 60.00 60.00
Sites, in units of the cell vectors:
Fe1 0.250 0.250 0.250
K1 0.000 0.000 0.000
Pd1 0.750 0.750 0.750

**ΔE to the lowest computed polymorph**: 526 meV per atom
**SG**: F-43m (216)
**Spin magnetization**: 1.09 μB/atom

Computed, not measured: a relaxed NaPtPb crystal at the GGA-PBE level of DFT.

Lattice parameters (Å, degrees): 4.657 4.657 4.657 60.00 60.00 60.00
Sites, in units of the cell vectors:
Pt1 0.750 0.750 0.750
Pb1 0.250 0.250 0.250
Na1 0.000 0.000 0.000

**VASP energy**: -3.436 eV per atom
**SG**: F-43m (216)
**Spin magnetization**: 0.00 μB/atom

Computed, not measured: a relaxed CsRbPuS3 crystal at the GGA-PBE level of DFT.

Lattice parameters (Å, degrees): 7.176 8.398 8.786 75.70 70.10 66.43
Sites, in units of the cell vectors:
Cs1 0.655 0.460 0.696
Cs2 0.345 0.540 0.304
Pu1 0.347 0.074 0.706
Pu2 0.653 0.926 0.294
Rb1 0.927 0.791 0.848
Rb2 0.073 0.209 0.152
S1 0.366 0.830 0.939
S2 0.277 0.963 0.486
S3 0.836 0.605 0.265
S4 0.164 0.395 0.735
S5 0.634 0.170 0.061
S6 0.723 0.037 0.514

**VASP energy**: -5.913 eV per atom
**SG**: P-1 (2)
**Spin magnetization**: 0.67 μB/atom

Computed, not measured: a relaxed KDyO2 crystal at the GGA-PBE level of DFT.

Lattice parameters (Å, degrees): 6.917 6.964 6.352 90.00 90.00 90.00
Sites, in units of the cell vectors:
O1 0.908 0.854 0.750
O2 0.671 0.250 0.000
O3 0.329 0.750 0.500
O4 0.908 0.646 0.250
O5 0.329 0.750 0.000
O6 0.671 0.250 0.500
O7 0.092 0.354 0.750
O8 0.092 0.146 0.250
K1 0.374 0.101 0.750
K2 0.374 0.399 0.250
K3 0.626 0.899 0.250
K4 0.626 0.601 0.750
Dy1 0.142 0.843 0.250
Dy2 0.858 0.343 0.250
Dy3 0.142 0.657 0.750
Dy4 0.858 0.157 0.750

**VASP energy**: -6.487 eV per atom
**SG**: Pbcm (57)
**Spin magnetization**: 0.00 μB/atom

Computed, not measured: a relaxed K3RbCu2P2 crystal at the GGA-PBE level of DFT.

Lattice parameters (Å, degrees): 6.178 5.811 6.234 90.00 106.45 90.00
Sites, in units of the cell vectors:
Cu1 0.997 0.751 0.000
Cu2 0.997 0.249 0.000
K1 0.475 0.000 0.813
K2 0.816 0.000 0.479
K3 0.185 0.500 0.524
P1 0.226 0.000 0.234
P2 0.775 0.500 0.761
Rb1 0.529 0.500 0.188

**VASP energy**: -3.130 eV per atom
**SG**: Pm (6)

Computed, not measured: a relaxed Cu2Ag3 crystal at the GGA-PBE level of DFT.

Lattice parameters (Å, degrees): 6.322 6.322 3.880 90.00 90.00 90.00
Sites, in units of the cell vectors:
Ag1 0.896 0.306 0.500
Ag2 0.306 0.104 0.500
Ag3 0.000 0.000 0.000
Ag4 0.500 0.500 0.500
Ag5 0.104 0.694 0.500
Ag6 0.694 0.896 0.500
Cu1 0.405 0.797 0.000
Cu2 0.595 0.203 0.000
Cu3 0.203 0.405 0.000
Cu4 0.797 0.595 0.000

**ΔE to the lowest computed polymorph**: 62 meV per atom
**SG**: P4/m (83)
**Calculated formation energy**: 9 kJ per mole of atoms

Computed, not measured: a relaxed TcB3 crystal at the GGA-PBE level of DFT.

Lattice parameters (Å, degrees): 2.891 2.891 9.269 90.00 90.00 120.00
Sites, in units of the cell vectors:
B1 0.667 0.333 0.162
B2 0.000 0.000 0.250
B3 0.667 0.333 0.338
B4 0.333 0.667 0.662
B5 0.000 0.000 0.750
B6 0.333 0.667 0.838
Tc1 0.000 0.000 0.000
Tc2 0.000 0.000 0.500

**ΔE to the lowest computed polymorph**: 47 meV per atom
**SG**: P6_3/mmc (194)
**Spin magnetization**: 0.00 μB/atom